# YTaBr2 (PBE, relaxed)
# E_form (uncorrected) (eV/atom): -0.0850
# ΔE to the lowest computed polymorph (eV/f.u.): 1.58
data_YTaBr2
_symmetry_space_group_name_H-M 'P 1 2/m 1'
_symmetry_Int_Tables_number 10
_cell_length_a 3.308
_cell_length_b 4.492
_cell_length_c 6.213
_cell_angle_alpha 90.00
_cell_angle_beta 96.67
_cell_angle_gamma 90.00
loop_
_symmetry_equiv_pos_as_xyz
'x,y,z'
'-x,-y,-z'
'-x,y,-z'
'x,-y,z'
loop_
_atom_site_label
_atom_site_fract_x
_atom_site_fract_y
_atom_site_fract_z
_atom_site_occupancy
Y1 0.000 0.000 0.000 1
Ta1 0.500 0.000 0.500 1
Br1 0.447 0.500 0.255 1

---

# Cs2PdSeI6 (PBE, relaxed)
# E_form (uncorrected) (eV/atom): -0.6764
data_Cs2PdSeI6
_symmetry_space_group_name_H-M 'C 1 2/m 1'
_symmetry_Int_Tables_number 12
_cell_length_a 11.629
_cell_length_b 11.641
_cell_length_c 8.226
_cell_angle_alpha 90.00
_cell_angle_beta 134.88
_cell_angle_gamma 90.00
loop_
_symmetry_equiv_pos_as_xyz
'x,y,z'
'-x,-y,-z'
'-x,y,-z'
'x,-y,z'
'x+1/2,y+1/2,z'
'-x+1/2,-y+1/2,-z'
'-x+1/2,y+1/2,-z'
'x+1/2,-y+1/2,z'
loop_
_atom_site_label
_atom_site_fract_x
_atom_site_fract_y
_atom_site_fract_z
_atom_site_occupancy
Cs1 0.000 0.250 0.000 1
Pd1 0.000 0.000 0.500 1
Se1 0.000 0.500 0.500 1
I1 0.000 0.241 0.500 1
I2 0.241 0.000 0.981 1
I3 0.243 0.000 0.501 1

---

# KZrBr (PBE, relaxed)
# E_form (uncorrected) (eV/atom): -0.1153
# ΔE to the lowest computed polymorph (eV/f.u.): 0.46
data_KZrBr
_symmetry_space_group_name_H-M 'I 4 m m'
_symmetry_Int_Tables_number 107
_symmetry_space_group_name_Hall 'I 4 -2'
_cell_length_a 3.379
_cell_length_b 3.379
_cell_length_c 14.925
_cell_angle_alpha 90.00
_cell_angle_beta 90.00
_cell_angle_gamma 90.00
loop_
_atom_site_label
_atom_site_fract_x
_atom_site_fract_y
_atom_site_fract_z
_atom_site_occupancy
K1 0.000 0.000 0.000 1
Zr1 0.000 0.000 0.713 1
Br1 0.000 0.000 0.328 1